A geometry-optimized NiPb3Cl structure, computed with PBE.

Output
The total moment comes out at 0.00 μB per cell. As for the relative energy among the computed polymorphs: 0 meV per atom. Its uncorrected formation energy is -0.055 eV/atom.

Cell lengths 5.202, 5.202, 5.202 Å; angles 90.00, 90.00, 90.00 degrees
Fractional coordinates of all 5 atoms:
1 Ni 0.000 0.000 0.000
2 Pb 0.000 0.000 0.500
3 Pb 0.000 0.500 0.000
4 Pb 0.500 0.000 0.000
5 Cl 0.500 0.500 0.500